A plane-wave DFT calculation with GGA-PBE was carried out for crystalline YFe3B3 at its relaxed geometry.

```
YFe3B3
1.0
3.042 0.000 0.000
0.000 6.674 -3.810
0.000 -0.036 7.687
B Fe Y
6 6 2
direct
0.750 0.454 0.035
0.250 0.419 0.454
0.250 0.035 0.581
0.250 0.546 0.965
0.750 0.581 0.546
0.750 0.965 0.419
0.250 0.070 0.307
0.250 0.237 0.930
0.250 0.693 0.763
0.750 0.763 0.070
0.750 0.307 0.237
0.750 0.930 0.693
0.750 0.333 0.667
0.250 0.667 0.333
```

Values from the calculation:
Fermi-level density of states (states/eV per cell): 6.2
Density (g/cm³): 6.16
Size of the total moment (μB/f.u.): 4.862
Energy (eV/atom): -7.519
Space group: No. 176



A plane-wave DFT calculation with GGA-PBE was carried out for crystalline ErZnRh2 at its relaxed geometry.

```
ErZnRh2
1.0
4.530 0.157 -0.210
2.133 4.004 0.001
2.396 1.292 3.630
Rh Er Zn
2 1 1
direct
0.500 0.500 0.500
0.000 0.000 0.000
0.250 0.250 0.250
0.750 0.750 0.750
```

Values from the calculation:
Fermi-level density of states (states/eV per cell): 2.1
Density (g/cm³): 11.03
Size of the total moment (μB/f.u.): 0.000
Energy (eV/atom): -5.830
Space group: No. 225



- Which formula does entry 2 have?
  ErZnRh2



- Which of these has the highest energy?
  ErZnRh2